1.
# Ba2MgIn3Ag4 | Alexandria | GGA-PBE | optimized geometry
# - ΔH_f (0 K): -26.6 kJ/mol of atoms
# - Uncorrected energy: -27.8 eV per cell
data_Ba2MgIn3Ag4
_chemical_formula_sum 'Ba2 Mg1 In3 Ag4'
_space_group_name_H-M_alt 'P -4 m 2'
_space_group_IT_number 115
_space_group_name_Hall 'P -4 -2'
_cell_length_a 4.679
_cell_length_b 4.679
_cell_length_c 12.513
_cell_angle_alpha 90.00
_cell_angle_beta 90.00
_cell_angle_gamma 90.00
loop_
_atom_site_label
_atom_site_type_symbol
_atom_site_fract_x
_atom_site_fract_y
_atom_site_fract_z
_atom_site_occupancy
Ba1 Ba 0.000 0.500 0.247 1
Mg1 Mg 0.000 0.000 0.500 1
In1 In 0.000 0.500 0.869 1
In2 In 0.500 0.500 0.500 1
Ag1 Ag 0.000 0.000 0.000 1
Ag2 Ag 0.000 0.500 0.638 1
Ag3 Ag 0.500 0.500 0.000 1

***

2.
# CaGaBr3 | Alexandria | GGA-PBE | optimized geometry
# - Uncorrected energy: -68.8 eV per cell
# - Uncorrected formation energy: -1430 meV/atom
data_CaGaBr3
_chemical_formula_sum 'Ca4 Ga4 Br12'
_space_group_name_H-M_alt 'C 1 2/m 1'
_space_group_IT_number 12
_space_group_name_Hall '-C 2y'
_cell_length_a 7.457
_cell_length_b 13.334
_cell_length_c 7.559
_cell_angle_alpha 90.00
_cell_angle_beta 106.57
_cell_angle_gamma 90.00
loop_
_atom_site_label
_atom_site_type_symbol
_atom_site_fract_x
_atom_site_fract_y
_atom_site_fract_z
_atom_site_occupancy
Ca1 Ca 0.000 0.162 0.000 1
Ga1 Ga 0.000 0.350 0.500 1
Br1 Br 0.211 0.000 0.220 1
Br2 Br 0.244 0.194 0.761 1

***

3.
# GaB2Rh2 | Alexandria | GGA-PBE | optimized geometry
# - ΔH_f (0 K): -32.9 kJ/mol of atoms
# - Uncorrected energy: -65.6 eV per cell
data_GaB2Rh2
_chemical_formula_sum 'Ga2 B4 Rh4'
_space_group_name_H-M_alt 'I 4/m m m'
_space_group_IT_number 139
_space_group_name_Hall '-I 4 2'
_cell_length_a 3.031
_cell_length_b 3.031
_cell_length_c 12.329
_cell_angle_alpha 90.00
_cell_angle_beta 90.00
_cell_angle_gamma 90.00
loop_
_atom_site_label
_atom_site_type_symbol
_atom_site_fract_x
_atom_site_fract_y
_atom_site_fract_z
_atom_site_occupancy
Ga1 Ga 0.000 0.000 0.000 1
B1 B 0.000 0.500 0.250 1
Rh1 Rh 0.000 0.000 0.375 1

***

4.
# MnP3 | Alexandria | GGA-PBE | optimized geometry
# - ΔH_f (0 K): 0.6 kJ/mol of atoms
# - Uncorrected energy: -50.7 eV per cell
data_MnP3
_chemical_formula_sum 'Mn2 P6'
_space_group_name_H-M_alt 'C 1 m 1'
_space_group_IT_number 8
_space_group_name_Hall 'C -2y'
_cell_length_a 8.049
_cell_length_b 3.163
_cell_length_c 4.535
_cell_angle_alpha 90.00
_cell_angle_beta 105.34
_cell_angle_gamma 90.00
loop_
_atom_site_label
_atom_site_type_symbol
_atom_site_fract_x
_atom_site_fract_y
_atom_site_fract_z
_atom_site_occupancy
Mn1 Mn 0.000 0.000 0.000 1
P1 P 0.099 0.000 0.535 1
P2 P 0.315 0.000 0.136 1
P3 P 0.385 0.000 0.653 1

***

5.
# K3AcTc2O9 | Alexandria | GGA-PBE | optimized geometry
# - Uncorrected energy: -100.2 eV per cell
# - Uncorrected formation energy: -1829 meV/atom
data_K3AcTc2O9
_chemical_formula_sum 'K3 Ac1 Tc2 O9'
_space_group_name_H-M_alt 'P -3 m 1'
_space_group_IT_number 164
_space_group_name_Hall '-P 3 2"'
_cell_length_a 5.8387
_cell_length_b 5.8387
_cell_length_c 7.6518
_cell_angle_alpha 90.00
_cell_angle_beta 90.00
_cell_angle_gamma 120.00
loop_
_atom_site_label
_atom_site_type_symbol
_atom_site_fract_x
_atom_site_fract_y
_atom_site_fract_z
_atom_site_occupancy
K1 K 0.0000 0.0000 0.0000 1
K2 K 0.3333 0.6667 0.7090 1
Ac1 Ac 0.0000 0.0000 0.5000 1
Tc1 Tc 0.3333 0.6667 0.1495 1
O1 O 0.0000 0.5000 0.0000 1
O2 O 0.1815 0.3629 0.2893 1

***

6.
# Pm4SiGe3 | Alexandria | GGA-PBE | optimized geometry
# - Uncorrected energy: -45.0 eV per cell
# - Uncorrected formation energy: -839 meV/atom
data_Pm4SiGe3
_chemical_formula_sum 'Pm4 Si1 Ge3'
_space_group_name_H-M_alt 'P m m 2'
_space_group_IT_number 25
_space_group_name_Hall 'P 2 -2'
_cell_length_a 4.020
_cell_length_b 4.440
_cell_length_c 10.979
_cell_angle_alpha 90.00
_cell_angle_beta 90.00
_cell_angle_gamma 90.00
loop_
_atom_site_label
_atom_site_type_symbol
_atom_site_fract_x
_atom_site_fract_y
_atom_site_fract_z
_atom_site_occupancy
Pm1 Pm 0.000 0.000 0.000 1
Pm2 Pm 0.000 0.500 0.497 1
Pm3 Pm 0.500 0.000 0.721 1
Pm4 Pm 0.500 0.500 0.221 1
Si1 Si 0.000 0.000 0.281 1
Ge1 Ge 0.000 0.500 0.777 1
Ge2 Ge 0.500 0.000 0.437 1
Ge3 Ge 0.500 0.500 0.941 1

***

The following magnetic moment values (in Bohr magnetons per cell) correspond, in order, to the records above: 0.00 0.00 0.00 0.69 0.00 0.00.